{
  "formula": "La5PrTl4",
  "functional": "GGA-PBE",
  "state": "optimized geometry",
  "n_ef_per_ev_fu": 10.59,
  "crystal_system": "tetragonal",
  "e_form_mev_per_atom": -330,
  "magmom_total_mub_per_cell": 0.0,
  "space_group": "P4/mmm (123)",
  "lattice_angstrom": [[3.718, 0.000, 0.000], [0.000, 3.718, 0.000], [0.000, 0.000, 23.380]],
  "species": ["La", "La", "La", "La", "La", "Pr", "Tl", "Tl", "Tl", "Tl"],
  "frac_coords": [[0.000, 0.000, 0.000], [0.000, 0.000, 0.193], [0.000, 0.000, 0.386], [0.000, 0.000, 0.614], [0.000, 0.000, 0.807], [0.500, 0.500, 0.500], [0.500, 0.500, 0.097], [0.500, 0.500, 0.290], [0.500, 0.500, 0.710], [0.500, 0.500, 0.903]]
}